Compound: PuPa3Se4
Source: the Alexandria database
Functional: PBE
Structure: optimized geometry

- Fermi-level density of states (states/eV/cell) = 16.5
- crystal system = orthorhombic
- raw total energy (eV per atom) = -8.37

Unit cell a=3.923 b=7.156 c=7.155 alpha=72.50 beta=90.00 gamma=90.00
Positions (direct):
1 Pa 0.500 0.000 0.500
2 Pa 0.000 0.000 0.000
3 Pa 0.000 0.500 0.500
4 Se 0.000 0.748 0.752
5 Se 0.500 0.749 0.248
6 Se 0.000 0.253 0.248
7 Se 0.500 0.252 0.752
8 Pu 0.500 0.500 0.000

---

Compound: Pu2Pa3Se8
Source: the Alexandria database
Functional: PBE
Structure: optimized geometry

- Fermi-level density of states (states/eV/cell) = 30.9
- crystal system = monoclinic
- raw total energy (eV per atom) = -7.90

Unit cell a=4.155 b=14.115 c=13.582 alpha=149.77 beta=90.00 gamma=90.00
Positions (direct):
1 Pu 0.500 0.251 0.501
2 Pu 0.500 0.749 0.499
3 Pa 0.500 0.000 0.000
4 Pa 0.000 0.251 0.994
5 Pa 0.000 0.749 0.006
6 Se 0.000 0.616 0.253
7 Se 0.000 0.384 0.747
8 Se 0.000 0.127 0.248
9 Se 0.000 0.873 0.752
10 Se 0.500 0.638 0.766
11 Se 0.500 0.127 0.759
12 Se 0.500 0.873 0.241
13 Se 0.500 0.362 0.234

---

Compound: Pu2Pa2Se7
Source: the Alexandria database
Functional: PBE
Structure: optimized geometry

- Fermi-level density of states (states/eV/cell) = 31.0
- crystal system = orthorhombic
- raw total energy (eV per atom) = -7.95

Unit cell a=4.061 b=8.884 c=8.884 alpha=61.11 beta=76.79 gamma=76.79
Positions (direct):
1 Pu 0.000 0.779 0.221
2 Pu 0.500 0.325 0.675
3 Pa 0.743 0.850 0.665
4 Pa 0.257 0.335 0.150
5 Se 0.817 0.078 0.289
6 Se 0.856 0.422 0.866
7 Se 0.500 0.009 0.991
8 Se 0.614 0.493 0.280
9 Se 0.386 0.720 0.507
10 Se 0.183 0.711 0.922
11 Se 0.144 0.134 0.578

---

Compound: PuPa6Se12
Source: the Alexandria database
Functional: PBE
Structure: optimized geometry

- Fermi-level density of states (states/eV/cell) = 36.7
- crystal system = trigonal
- raw total energy (eV per atom) = -7.24

Unit cell a=8.312 b=8.312 c=8.312 alpha=100.35 beta=100.35 gamma=100.35
Positions (direct):
1 Pu 0.000 0.000 0.000
2 Pa 0.692 0.865 0.370
3 Pa 0.630 0.308 0.135
4 Pa 0.135 0.630 0.308
5 Pa 0.308 0.135 0.630
6 Pa 0.370 0.692 0.865
7 Pa 0.865 0.370 0.692
8 Se 0.823 0.577 0.434
9 Se 0.434 0.823 0.577
10 Se 0.577 0.434 0.823
11 Se 0.177 0.423 0.566
12 Se 0.566 0.177 0.423
13 Se 0.423 0.566 0.177
14 Se 0.066 0.953 0.331
15 Se 0.047 0.669 0.934
16 Se 0.669 0.934 0.047
17 Se 0.934 0.047 0.669
18 Se 0.953 0.331 0.066
19 Se 0.331 0.066 0.953

---

Formation energy from raw total energies for every record listed, in sequence, given in kJ/mol of atoms: -123.5 -131.2 -134.8 -123.7.
M_tot for every record listed, in sequence, given in Bohr magnetons per cell: 5.2 14.5 1.0 14.1.
V for every record listed, in sequence, given in A^3/atom: 23.95 30.85 24.59 28.53.